# Li2PaCr3N6

An optimized crystal structure of Li2PaCr3N6 (PBE-GGA, Alexandria via LeMat-Bulk).

Computed properties:
Final energy (eV per atom): -8.489

Lattice parameters (Å, degrees): 5.097 5.097 5.379 98.02 98.02 120.31
Fractional coordinates of all 12 atoms:
Cr (0.808, 0.192, 0.500)
N (0.440, 0.101, 0.277)
N (0.232, 0.232, 0.713)
Cr (0.500, 0.500, 0.500)
N (0.560, 0.899, 0.723)
Cr (0.192, 0.808, 0.500)
N (0.768, 0.768, 0.287)
Pa (0.000, 0.000, 0.000)
N (0.101, 0.440, 0.277)
Li (0.663, 0.337, 0.000)
Li (0.337, 0.663, 0.000)
N (0.899, 0.560, 0.723)

# LiPa2Cr3N6

An optimized crystal structure of LiPa2Cr3N6 (PBE-GGA, Alexandria via LeMat-Bulk).

Computed properties:
Final energy (eV per atom): -9.217

Lattice parameters (Å, degrees): 3.228 6.262 6.903 101.60 103.52 90.00
Fractional coordinates of all 12 atoms:
Cr (0.162, 0.822, 0.324)
N (0.008, 0.731, 0.017)
Pa (0.843, 0.691, 0.685)
N (0.342, 0.400, 0.684)
N (0.667, 0.050, 0.335)
Cr (0.500, 0.500, 0.000)
Cr (0.838, 0.178, 0.676)
Pa (0.157, 0.309, 0.315)
Li (0.500, 0.000, 0.000)
N (0.658, 0.600, 0.316)
N (0.992, 0.269, 0.983)
N (0.333, 0.950, 0.665)

# LiPa2CrN4

An optimized crystal structure of LiPa2CrN4 (PBE-GGA, Alexandria via LeMat-Bulk).

Computed properties:
Final energy (eV per atom): -9.032

Lattice parameters (Å, degrees): 3.480 5.114 6.019 66.49 90.00 90.00
Fractional coordinates of all 8 atoms:
N (0.500, 0.247, 0.757)
N (0.000, 0.737, 0.759)
N (0.500, 0.753, 0.243)
Pa (0.000, 0.000, 0.000)
Cr (0.500, 0.500, 0.000)
Pa (0.500, 0.000, 0.500)
N (0.000, 0.263, 0.241)
Li (0.000, 0.500, 0.500)

# Li3Pa3CrN8

An optimized crystal structure of Li3Pa3CrN8 (PBE-GGA, Alexandria via LeMat-Bulk).

Computed properties:
Final energy (eV per atom): -8.253

Lattice parameters (Å, degrees): 6.739 6.739 6.328 122.18 90.00 120.00
Fractional coordinates of all 15 atoms:
Li (0.000, 0.500, 0.000)
Pa (0.500, 0.000, 0.500)
N (0.742, 0.485, 0.727)
N (0.258, 0.515, 0.273)
N (0.768, 0.986, 0.704)
Cr (0.000, 0.000, 0.500)
Pa (0.500, 0.500, 0.500)
N (0.218, 0.986, 0.704)
N (0.232, 0.014, 0.296)
N (0.218, 0.436, 0.704)
Pa (0.000, 0.500, 0.500)
N (0.782, 0.564, 0.296)
Li (0.500, 0.500, 0.000)
Li (0.000, 0.000, 0.000)
N (0.782, 0.014, 0.296)

# Li4Pa3CrN8

An optimized crystal structure of Li4Pa3CrN8 (PBE-GGA, Alexandria via LeMat-Bulk).

Computed properties:
Final energy (eV per atom): -7.960

Lattice parameters (Å, degrees): 6.768 6.412 6.766 121.89 120.01 90.00
Fractional coordinates of all 16 atoms:
Li (0.500, 0.000, 0.000)
Pa (0.500, 0.500, 0.000)
Li (0.000, 0.000, 0.500)
N (0.741, 0.722, 0.481)
N (0.226, 0.709, 0.453)
N (0.757, 0.709, 0.983)
N (0.774, 0.291, 0.017)
N (0.259, 0.278, 0.519)
N (0.774, 0.291, 0.547)
N (0.243, 0.291, 0.017)
Cr (0.000, 0.500, 0.000)
Li (0.500, 0.000, 0.500)
Pa (0.500, 0.500, 0.500)
Li (0.000, 0.000, 0.000)
N (0.226, 0.709, 0.983)
Pa (0.000, 0.500, 0.500)

# Li2PaCr2N4

An optimized crystal structure of Li2PaCr2N4 (PBE-GGA, Alexandria via LeMat-Bulk).

Computed properties:
Final energy (eV per atom): -8.090

Lattice parameters (Å, degrees): 3.269 7.070 7.862 139.13 90.00 103.37
Fractional coordinates of all 9 atoms:
N (0.552, 0.104, 0.264)
Li (0.862, 0.724, 0.450)
Cr (0.351, 0.702, 0.094)
Li (0.138, 0.276, 0.550)
N (0.785, 0.570, 0.896)
N (0.215, 0.430, 0.104)
Pa (0.000, 0.000, 0.000)
Cr (0.649, 0.298, 0.906)
N (0.448, 0.896, 0.736)

# Li2Pa2CrN6

An optimized crystal structure of Li2Pa2CrN6 (PBE-GGA, Alexandria via LeMat-Bulk).

Computed properties:
Final energy (eV per atom): -8.266

Lattice parameters (Å, degrees): 5.740 5.740 5.171 96.54 96.54 119.70
Fractional coordinates of all 11 atoms:
N (0.349, 0.035, 0.699)
N (0.651, 0.965, 0.301)
Pa (0.663, 0.337, 0.500)
N (0.235, 0.235, 0.290)
Li (0.126, 0.874, 0.000)
N (0.765, 0.765, 0.710)
N (0.035, 0.349, 0.699)
Li (0.874, 0.126, 0.000)
N (0.965, 0.651, 0.301)
Cr (0.000, 0.000, 0.500)
Pa (0.337, 0.663, 0.500)

# Li2PaCrN4

An optimized crystal structure of Li2PaCrN4 (PBE-GGA, Alexandria via LeMat-Bulk).

Computed properties:
Final energy (eV per atom): -7.636

Lattice parameters (Å, degrees): 3.247 5.986 9.426 90.00 90.00 105.74
Fractional coordinates of all 16 atoms:
Li (0.399, 0.799, 0.540)
Cr (0.790, 0.580, 0.750)
Pa (0.051, 0.102, 0.750)
N (0.305, 0.610, 0.119)
N (0.394, 0.787, 0.750)
Li (0.601, 0.201, 0.460)
N (0.695, 0.390, 0.881)
N (0.606, 0.213, 0.250)
Li (0.601, 0.201, 0.040)
Cr (0.210, 0.420, 0.250)
Pa (0.949, 0.898, 0.250)
Li (0.399, 0.799, 0.960)
N (0.000, 0.000, 0.000)
N (0.305, 0.610, 0.381)
N (0.695, 0.390, 0.619)
N (0.000, 0.000, 0.500)

# LiCrPd2N

An optimized crystal structure of LiCrPd2N (PBE-GGA, Alexandria via LeMat-Bulk).

Computed properties:
Polymorph energy (0 for the lowest one) (meV per atom): 564

Lattice parameters (Å, degrees): 4.780 3.563 4.780 90.00 90.00 90.00
Fractional coordinates of all 5 atoms:
Pd (0.500, 0.000, 0.000)
N (0.000, 0.500, 0.000)
Li (0.500, 0.500, 0.500)
Pd (0.000, 0.000, 0.500)
Cr (0.000, 0.000, 0.000)

# LiCr2PdN

An optimized crystal structure of LiCr2PdN (PBE-GGA, Alexandria via LeMat-Bulk).

Computed properties:
Final energy (eV per atom): -7.201

Lattice parameters (Å, degrees): 3.835 3.835 3.995 90.00 90.00 90.00
Fractional coordinates of all 5 atoms:
Cr (0.500, 0.000, 0.000)
Cr (0.000, 0.500, 0.000)
Pd (0.500, 0.500, 0.500)
N (0.000, 0.000, 0.000)
Li (0.000, 0.000, 0.500)

# LiCrPd2N

An optimized crystal structure of LiCrPd2N (PBE-GGA, Alexandria via LeMat-Bulk).

Computed properties:
Polymorph energy (0 for the lowest one) (meV per atom): 0

Lattice parameters (Å, degrees): 4.302 4.302 3.723 90.00 90.00 90.00
Fractional coordinates of all 5 atoms:
Li (0.500, 0.500, 0.500)
N (0.000, 0.000, 0.000)
Cr (0.000, 0.000, 0.500)
Pd (0.000, 0.500, 0.000)
Pd (0.500, 0.000, 0.000)

# Li2CrPdN

An optimized crystal structure of Li2CrPdN (PBE-GGA, Alexandria via LeMat-Bulk).

Computed properties:
Final energy (eV per atom): -5.747

Lattice parameters (Å, degrees): 4.022 4.022 3.738 90.00 90.00 90.00
Fractional coordinates of all 5 atoms:
Li (0.000, 0.500, 0.000)
Pd (0.500, 0.500, 0.500)
N (0.000, 0.000, 0.000)
Li (0.500, 0.000, 0.000)
Cr (0.000, 0.000, 0.500)

# Li2PmCr2N4

An optimized crystal structure of Li2PmCr2N4 (PBE-GGA, Alexandria via LeMat-Bulk).

Computed properties:
Final energy (eV per atom): -7.465

Lattice parameters (Å, degrees): 3.273 7.138 8.188 139.36 90.00 103.25
Fractional coordinates of all 9 atoms:
N (0.763, 0.527, 0.869)
Li (0.872, 0.744, 0.469)
N (0.536, 0.072, 0.269)
N (0.237, 0.473, 0.131)
Pm (0.000, 0.000, 0.000)
Cr (0.341, 0.681, 0.060)
Cr (0.659, 0.319, 0.940)
Li (0.128, 0.256, 0.531)
N (0.464, 0.928, 0.731)

# LiPmCrN3

An optimized crystal structure of LiPmCrN3 (PBE-GGA, Alexandria via LeMat-Bulk).

Computed properties:
Final energy (eV per atom): -7.497

Lattice parameters (Å, degrees): 5.278 5.278 6.241 73.50 73.50 71.10
Fractional coordinates of all 12 atoms:
N (0.280, 0.819, 0.181)
Cr (0.944, 0.944, 0.312)
N (0.265, 0.265, 0.572)
N (0.181, 0.720, 0.819)
Pm (0.692, 0.692, 0.849)
Cr (0.056, 0.056, 0.688)
Li (0.660, 0.340, 0.500)
Pm (0.308, 0.308, 0.151)
Li (0.340, 0.660, 0.500)
N (0.735, 0.735, 0.428)
N (0.819, 0.280, 0.181)
N (0.720, 0.181, 0.819)

# Li2PrCr2N4

An optimized crystal structure of Li2PrCr2N4 (PBE-GGA, Alexandria via LeMat-Bulk).

Computed properties:
Final energy (eV per atom): -7.436

Lattice parameters (Å, degrees): 3.284 7.249 8.316 140.14 90.00 103.09
Fractional coordinates of all 9 atoms:
Cr (0.340, 0.680, 0.060)
N (0.238, 0.476, 0.130)
N (0.762, 0.524, 0.870)
Li (0.124, 0.248, 0.530)
Cr (0.660, 0.320, 0.940)
Pr (0.000, 0.000, 0.000)
Li (0.876, 0.752, 0.470)
N (0.465, 0.930, 0.726)
N (0.535, 0.070, 0.274)

# LiCr2PtN

An optimized crystal structure of LiCr2PtN (PBE-GGA, Alexandria via LeMat-Bulk).

Computed properties:
Final energy (eV per atom): -7.434

Lattice parameters (Å, degrees): 3.753 3.753 4.026 90.00 90.00 90.00
Fractional coordinates of all 5 atoms:
N (0.000, 0.000, 0.000)
Pt (0.500, 0.500, 0.500)
Cr (0.500, 0.000, 0.000)
Cr (0.000, 0.500, 0.000)
Li (0.000, 0.000, 0.500)

# Li3Pu2CrN6

An optimized crystal structure of Li3Pu2CrN6 (PBE-GGA, Alexandria via LeMat-Bulk).

Computed properties:
Final energy (eV per atom): -8.531

Lattice parameters (Å, degrees): 5.647 5.647 5.279 98.25 98.25 121.73
Fractional coordinates of all 12 atoms:
Pu (0.335, 0.665, 0.000)
Pu (0.665, 0.335, 0.000)
N (0.614, 0.929, 0.790)
Li (0.861, 0.139, 0.500)
N (0.386, 0.071, 0.210)
N (0.929, 0.614, 0.790)
Li (0.500, 0.500, 0.500)
N (0.071, 0.386, 0.210)
N (0.745, 0.745, 0.217)
Cr (0.000, 0.000, 0.000)
N (0.255, 0.255, 0.783)
Li (0.139, 0.861, 0.500)

# Li3Pu3CrN8

An optimized crystal structure of Li3Pu3CrN8 (PBE-GGA, Alexandria via LeMat-Bulk).

Computed properties:
Final energy (eV per atom): -8.957

Lattice parameters (Å, degrees): 6.571 6.571 6.248 121.72 90.00 120.01
Fractional coordinates of all 15 atoms:
N (0.225, 0.975, 0.700)
Li (0.000, 0.500, 0.000)
N (0.750, 0.975, 0.701)
N (0.250, 0.025, 0.299)
N (0.260, 0.520, 0.279)
N (0.775, 0.550, 0.300)
Li (0.000, 0.000, 0.000)
Pu (0.000, 0.500, 0.500)
Pu (0.500, 0.000, 0.500)
N (0.225, 0.450, 0.700)
N (0.740, 0.480, 0.721)
Pu (0.500, 0.500, 0.500)
Li (0.500, 0.500, 0.000)
N (0.775, 0.025, 0.300)
Cr (0.000, 0.000, 0.500)

# LiPu2CrN4

An optimized crystal structure of LiPu2CrN4 (PBE-GGA, Alexandria via LeMat-Bulk).

Computed properties:
Final energy (eV per atom): -10.021

Lattice parameters (Å, degrees): 3.407 6.442 11.478 90.00 90.00 105.33
Fractional coordinates of all 16 atoms:
N (0.242, 0.484, 0.102)
Pu (0.629, 0.257, 0.462)
Li (0.017, 0.034, 0.750)
Li (0.983, 0.966, 0.250)
N (0.758, 0.516, 0.898)
Cr (0.810, 0.620, 0.750)
N (0.758, 0.516, 0.602)
Pu (0.629, 0.257, 0.038)
N (0.000, 0.000, 0.500)
N (0.242, 0.484, 0.398)
Pu (0.371, 0.743, 0.538)
N (0.393, 0.786, 0.750)
N (0.607, 0.214, 0.250)
N (0.000, 0.000, 0.000)
Pu (0.371, 0.743, 0.962)
Cr (0.190, 0.380, 0.250)

# Li4Pu3CrN8

An optimized crystal structure of Li4Pu3CrN8 (PBE-GGA, Alexandria via LeMat-Bulk).

Computed properties:
Final energy (eV per atom): -8.648

Lattice parameters (Å, degrees): 6.581 6.297 6.581 121.50 120.00 90.00
Fractional coordinates of all 16 atoms:
N (0.233, 0.709, 0.466)
N (0.743, 0.709, 0.976)
Pu (0.500, 0.500, 0.500)
Li (0.500, 0.000, 0.500)
N (0.767, 0.291, 0.534)
Li (0.000, 0.000, 0.500)
Li (0.500, 0.000, 0.000)
Pu (0.000, 0.500, 0.500)
Cr (0.000, 0.500, 0.000)
N (0.233, 0.709, 0.976)
N (0.261, 0.283, 0.522)
N (0.257, 0.291, 0.024)
Pu (0.500, 0.500, 0.000)
N (0.739, 0.717, 0.478)
N (0.767, 0.291, 0.024)
Li (0.000, 0.000, 0.000)